DFT (PBE) results for a relaxed SmNbOs crystal.

a = 6.4267 Å, b = 6.4267 Å, c = 6.4267 Å
α = 90.00°, β = 90.00°, γ = 90.00°
With the nearest neighbours (Å) after each atom.
Space group F-43m (No. 216)
Unique sites:
1 Sm 0.0000 0.0000 0.0000 [4 per cell]  4 Nb 2.78
2 Nb 0.2500 0.2500 0.7500 [4 per cell]  4 Os 2.78, 4 Sm 2.78
3 Os 0.0000 0.0000 0.5000 [4 per cell]  4 Nb 2.78

Properties
theoretical density = 10.8 g/cm³
ΔH_f (0 K) = 591 meV/atom
VASP energy = -97.0 eV per cell
crystal system = cubic